No. 1
# NaTlBiRh (GGA-PBE, optimized geometry)
data_NaTlBiRh
_cell_length_a 7.016
_cell_length_b 7.016
_cell_length_c 7.016
_cell_angle_alpha 90.00
_cell_angle_beta 90.00
_cell_angle_gamma 90.00
_symmetry_space_group_name_H-M 'F -4 3 m'
_symmetry_Int_Tables_number 216
_symmetry_space_group_name_Hall 'F -4 2 3'
loop_
_atom_site_label
_atom_site_type_symbol
_atom_site_fract_x
_atom_site_fract_y
_atom_site_fract_z
Na1 Na 0.000 0.000 0.000
Tl1 Tl 0.250 0.250 0.250
Bi1 Bi 0.250 0.250 0.750
Rh1 Rh 0.000 0.000 0.500
# **Total magnetic moment**: 0.00 μB per atom
# **Volume**: 345.38 Å³/cell
# **E**: -0.2746 Ry/atom


No. 2
# Na2TlBi2Rh2 (GGA-PBE, optimized geometry)
data_Na2TlBi2Rh2
_cell_length_a 5.068
_cell_length_b 5.068
_cell_length_c 15.586
_cell_angle_alpha 90.00
_cell_angle_beta 90.00
_cell_angle_gamma 90.00
_symmetry_space_group_name_H-M 'I 4/m m m'
_symmetry_Int_Tables_number 139
_symmetry_space_group_name_Hall '-I 4 2'
loop_
_atom_site_label
_atom_site_type_symbol
_atom_site_fract_x
_atom_site_fract_y
_atom_site_fract_z
Na1 Na 0.000 0.000 0.190
Tl1 Tl 0.000 0.000 0.000
Bi1 Bi 0.000 0.000 0.399
Rh1 Rh 0.000 0.500 0.000
# **Total magnetic moment**: 0.00 μB per atom
# **Volume**: 400.27 Å³/cell
# **E**: -0.2833 Ry/atom


No. 3
# NaTl2BiRh (GGA-PBE, optimized geometry)
data_NaTl2BiRh
_cell_length_a 5.291
_cell_length_b 5.291
_cell_length_c 5.483
_cell_angle_alpha 90.00
_cell_angle_beta 90.00
_cell_angle_gamma 90.00
_symmetry_space_group_name_H-M 'P 4/m m m'
_symmetry_Int_Tables_number 123
_symmetry_space_group_name_Hall '-P 4 2'
loop_
_atom_site_label
_atom_site_type_symbol
_atom_site_fract_x
_atom_site_fract_y
_atom_site_fract_z
Na1 Na 0.000 0.000 0.000
Tl1 Tl 0.000 0.500 0.500
Bi1 Bi 0.500 0.500 0.000
Rh1 Rh 0.500 0.500 0.500
# **Total magnetic moment**: 0.00 μB per atom
# **Volume**: 153.51 Å³/cell
# **E**: -0.2540 Ry/atom


No. 4
# NaBiRh2W (GGA-PBE, optimized geometry)
data_NaBiRh2W
_cell_length_a 4.819
_cell_length_b 4.819
_cell_length_c 5.368
_cell_angle_alpha 90.00
_cell_angle_beta 90.00
_cell_angle_gamma 90.00
_symmetry_space_group_name_H-M 'P 4/m m m'
_symmetry_Int_Tables_number 123
_symmetry_space_group_name_Hall '-P 4 2'
loop_
_atom_site_label
_atom_site_type_symbol
_atom_site_fract_x
_atom_site_fract_y
_atom_site_fract_z
Na1 Na 0.000 0.000 0.000
Bi1 Bi 0.500 0.500 0.000
Rh1 Rh 0.000 0.500 0.500
W1 W 0.500 0.500 0.500
# **Total magnetic moment**: 0.00 μB per atom
# **Volume**: 124.67 Å³/cell
# **E**: -0.4231 Ry/atom


No. 5
# Na2Bi2Ru (GGA-PBE, optimized geometry)
data_Na2Bi2Ru
_cell_length_a 7.125
_cell_length_b 7.125
_cell_length_c 5.319
_cell_angle_alpha 90.00
_cell_angle_beta 90.00
_cell_angle_gamma 90.00
_symmetry_space_group_name_H-M 'P 4/m b m'
_symmetry_Int_Tables_number 127
_symmetry_space_group_name_Hall '-P 4 2ab'
loop_
_atom_site_label
_atom_site_type_symbol
_atom_site_fract_x
_atom_site_fract_y
_atom_site_fract_z
Na1 Na 0.174 0.326 0.000
Bi1 Bi 0.153 0.653 0.500
Ru1 Ru 0.000 0.000 0.500
# **Total magnetic moment**: 0.00 μB per atom
# **Volume**: 270.04 Å³/cell
# **E**: -0.2860 Ry/atom


No. 6
# NaBi2Ru (GGA-PBE, optimized geometry)
data_NaBi2Ru
_cell_length_a 3.395
_cell_length_b 3.395
_cell_length_c 8.562
_cell_angle_alpha 90.00
_cell_angle_beta 90.00
_cell_angle_gamma 90.00
_symmetry_space_group_name_H-M 'P 4/m m m'
_symmetry_Int_Tables_number 123
_symmetry_space_group_name_Hall '-P 4 2'
loop_
_atom_site_label
_atom_site_type_symbol
_atom_site_fract_x
_atom_site_fract_y
_atom_site_fract_z
Na1 Na 0.000 0.000 0.000
Bi1 Bi 0.500 0.500 0.303
Ru1 Ru 0.000 0.000 0.500
# **Total magnetic moment**: 0.18 μB per atom
# **Volume**: 98.66 Å³/cell
# **E**: -0.3363 Ry/atom


No. 7
# NaBi2Ru (GGA-PBE, optimized geometry)
data_NaBi2Ru
_cell_length_a 7.041
_cell_length_b 7.041
_cell_length_c 7.041
_cell_angle_alpha 90.00
_cell_angle_beta 90.00
_cell_angle_gamma 90.00
_symmetry_space_group_name_H-M 'F m -3 m'
_symmetry_Int_Tables_number 225
_symmetry_space_group_name_Hall '-F 4 2 3'
loop_
_atom_site_label
_atom_site_type_symbol
_atom_site_fract_x
_atom_site_fract_y
_atom_site_fract_z
Na1 Na 0.000 0.000 0.000
Bi1 Bi 0.250 0.250 0.250
Ru1 Ru 0.000 0.000 0.500
# **Total magnetic moment**: 0.00 μB per atom
# **Volume**: 349.02 Å³/cell
# **E**: -0.3260 Ry/atom


No. 8
# NaBiRu3 (GGA-PBE, optimized geometry)
data_NaBiRu3
_cell_length_a 4.567
_cell_length_b 4.567
_cell_length_c 4.567
_cell_angle_alpha 90.00
_cell_angle_beta 90.00
_cell_angle_gamma 90.00
_symmetry_space_group_name_H-M 'P m -3 m'
_symmetry_Int_Tables_number 221
_symmetry_space_group_name_Hall '-P 4 2 3'
loop_
_atom_site_label
_atom_site_type_symbol
_atom_site_fract_x
_atom_site_fract_y
_atom_site_fract_z
Na1 Na 0.000 0.000 0.000
Bi1 Bi 0.500 0.500 0.500
Ru1 Ru 0.000 0.000 0.500
# **Total magnetic moment**: 0.39 μB per atom
# **Volume**: 95.23 Å³/cell
# **E**: -0.3378 Ry/atom


No. 9
# NaBiRu2 (GGA-PBE, optimized geometry)
data_NaBiRu2
_cell_length_a 7.797
_cell_length_b 7.797
_cell_length_c 5.485
_cell_angle_alpha 90.00
_cell_angle_beta 90.00
_cell_angle_gamma 90.00
_symmetry_space_group_name_H-M 'I -4 2 d'
_symmetry_Int_Tables_number 122
_symmetry_space_group_name_Hall 'I -4 2bw'
loop_
_atom_site_label
_atom_site_type_symbol
_atom_site_fract_x
_atom_site_fract_y
_atom_site_fract_z
Na1 Na 0.000 0.000 0.000
Bi1 Bi 0.000 0.000 0.500
Ru1 Ru 0.210 0.250 0.625
# **Total magnetic moment**: 0.00 μB per atom
# **Volume**: 333.45 Å³/cell
# **E**: -0.3623 Ry/atom


No. 10
# NaBiRu3 (GGA-PBE, optimized geometry)
data_NaBiRu3
_cell_length_a 5.065
_cell_length_b 5.065
_cell_length_c 5.065
_cell_angle_alpha 90.00
_cell_angle_beta 90.00
_cell_angle_gamma 90.00
_symmetry_space_group_name_H-M 'P m -3 m'
_symmetry_Int_Tables_number 221
_symmetry_space_group_name_Hall '-P 4 2 3'
loop_
_atom_site_label
_atom_site_type_symbol
_atom_site_fract_x
_atom_site_fract_y
_atom_site_fract_z
Na1 Na 0.000 0.000 0.000
Bi1 Bi 0.500 0.500 0.500
Ru1 Ru 0.000 0.500 0.500
# **Total magnetic moment**: 0.77 μB per atom
# **Volume**: 129.91 Å³/cell
# **E**: -0.3580 Ry/atom


No. 11
# NaBiRu (GGA-PBE, optimized geometry)
data_NaBiRu
_cell_length_a 7.358
_cell_length_b 4.239
_cell_length_c 10.819
_cell_angle_alpha 90.00
_cell_angle_beta 103.23
_cell_angle_gamma 90.00
_symmetry_space_group_name_H-M 'C 1 2/m 1'
_symmetry_Int_Tables_number 12
_symmetry_space_group_name_Hall '-C 2y'
loop_
_atom_site_label
_atom_site_type_symbol
_atom_site_fract_x
_atom_site_fract_y
_atom_site_fract_z
Na1 Na 0.210 0.000 0.131
Bi1 Bi 0.056 0.000 0.667
Ru1 Ru 0.175 0.500 0.525
# **Total magnetic moment**: 0.00 μB per atom
# **Volume**: 328.50 Å³/cell
# **E**: -0.3458 Ry/atom


No. 12
# NaBiRu (GGA-PBE, optimized geometry)
data_NaBiRu
_cell_length_a 4.008
_cell_length_b 15.630
_cell_length_c 4.635
_cell_angle_alpha 90.00
_cell_angle_beta 90.00
_cell_angle_gamma 90.00
_symmetry_space_group_name_H-M 'I m m 2'
_symmetry_Int_Tables_number 44
_symmetry_space_group_name_Hall 'I 2 -2'
loop_
_atom_site_label
_atom_site_type_symbol
_atom_site_fract_x
_atom_site_fract_y
_atom_site_fract_z
Na1 Na 0.000 0.172 0.000
Bi1 Bi 0.000 0.389 0.990
Ru1 Ru 0.000 0.000 0.694
Ru2 Ru 0.000 0.500 0.528
# **Total magnetic moment**: 0.00 μB per atom
# **Volume**: 290.35 Å³/cell
# **E**: -0.3458 Ry/atom